[1]
{
  "formula": "Mn2Nb2Co5Ge",
  "functional": "PBE",
  "state": "relaxed",
  "lattice": [[3.616, 0.000, 0.000], [0.000, 8.404, 0.000], [0.000, 0.000, 8.404]],
  "species": ["Co", "Nb", "Co", "Co", "Ge", "Ge", "Mn", "Mn", "Co", "Co", "Nb", "Nb", "Co", "Co", "Co", "Nb", "Co", "Mn", "Mn", "Co"],
  "frac_coords": [[0.500, 0.207, 0.065], [0.000, 0.324, 0.824], [0.500, 0.565, 0.707], [0.500, 0.793, 0.935], [0.000, 0.000, 0.000], [0.000, 0.500, 0.500], [0.000, 0.376, 0.124], [0.000, 0.624, 0.876], [0.500, 0.000, 0.500], [0.500, 0.435, 0.293], [0.000, 0.824, 0.676], [0.000, 0.176, 0.324], [0.500, 0.707, 0.435], [0.500, 0.293, 0.565], [0.500, 0.935, 0.207], [0.000, 0.676, 0.176], [0.500, 0.500, 0.000], [0.000, 0.124, 0.624], [0.000, 0.876, 0.376], [0.500, 0.065, 0.793]],
  "m_tot_mub_per_cell": 8.948,
  "vol_a3_per_atom": 12.8,
  "space_group": "P4/mbm (127)"
}

***

[2]
{
  "formula": "NdMnCoGe2",
  "functional": "PBE",
  "state": "relaxed",
  "lattice": [[-3.438, -1.292, -1.731], [1.612, -3.700, -0.442], [-0.953, 1.118, 5.822]],
  "species": ["Mn", "Nd", "Ge", "Co", "Ge"],
  "frac_coords": [[0.250, 0.750, 0.500], [0.000, 0.000, 0.000], [0.375, 0.375, 0.750], [0.750, 0.250, 0.500], [0.625, 0.625, 0.250]],
  "m_tot_mub_per_cell": 3.164,
  "vol_a3_per_atom": 17.4,
  "space_group": "I-4m2 (119)"
}

***

[3]
{
  "formula": "Mn4CoNi3Ge4",
  "functional": "PBE",
  "state": "relaxed",
  "lattice": [[-1.923, -1.612, 2.701], [5.053, -1.040, 2.977], [-0.613, 6.266, 3.305]],
  "species": ["Ge", "Ni", "Co", "Ni", "Mn", "Ge", "Mn", "Ge", "Mn", "Ni", "Ge", "Mn"],
  "frac_coords": [[0.500, 0.747, 0.877], [0.500, 0.354, 0.940], [0.000, 0.647, 0.059], [0.000, 0.143, 0.441], [0.000, 0.036, 0.821], [0.500, 0.248, 0.625], [0.500, 0.964, 0.179], [0.000, 0.751, 0.373], [0.500, 0.466, 0.318], [0.500, 0.855, 0.560], [0.000, 0.256, 0.126], [0.000, 0.535, 0.682]],
  "m_tot_mub_per_cell": 12.266,
  "vol_a3_per_atom": 13.0,
  "space_group": "Pm (6)"
}

***

[4]
{
  "formula": "Np2MnCo3Ge4",
  "functional": "PBE",
  "state": "relaxed",
  "lattice": [[4.004, 0.000, 0.000], [0.000, 4.004, 0.000], [0.000, 0.000, 10.016]],
  "species": ["Ge", "Co", "Mn", "Ge", "Ge", "Ge", "Np", "Co", "Co", "Np"],
  "frac_coords": [[0.000, 0.000, 0.000], [0.000, 0.500, 0.129], [0.500, 0.500, 0.500], [0.500, 0.000, 0.638], [0.500, 0.500, 0.000], [0.000, 0.500, 0.362], [0.000, 0.500, 0.759], [0.500, 0.000, 0.871], [0.000, 0.000, 0.500], [0.500, 0.000, 0.241]],
  "m_tot_mub_per_cell": 8.436,
  "vol_a3_per_atom": 16.1,
  "space_group": "P-4m2 (115)"
}

***

Record-wise electronic total energy values, in eV/atom: -7.87 -6.57 -6.87 -7.72